[1]
Tb3Y2Sc8: relaxed, GGA-PBE.

a = 13.6050 Å, b = 8.6788 Å, c = 6.7009 Å
α = 90.00°, β = 109.27°, γ = 90.00°
Last column: nearest neighbours and their distance in Å.
Space group C2/m (No. 12)
Asymmetric unit:
Tb1 0.0000 0.0000 0.0000 (multiplicity 2)  6 Sc 2.96-3.18
Tb2 0.0000 0.1835 0.5000 (multiplicity 4)  6 Sc 3.18-3.46, 1 Tb 3.18
Y1 0.2407 0.0000 0.4248 (multiplicity 4)  7 Sc 3.25-3.41, 1 Tb 3.56
Sc1 0.0629 0.5000 0.7490 (multiplicity 4)  6 Sc 3.03-3.37, 2 Tb 3.18, 1 Y 3.25
Sc2 0.1223 0.3139 0.1538 (multiplicity 8)  5 Sc 3.03-3.29, 1 Tb 3.18, 2 Y 3.25-3.37
Sc3 0.1950 0.0000 0.8949 (multiplicity 4)  1 Tb 2.96, 2 Sc 3.07

Values from the calculation:
* spin magnetization: 0.000 μB/cell
* formation enthalpy at 0 K: 0.250 eV/atom
* calculated volume: 746.9 Å³ per cell

---

[2]
Ag2HgPt: relaxed, GGA-PBE.

a = 4.1065 Å, b = 4.1065 Å, c = 4.2478 Å
α = 90.00°, β = 90.00°, γ = 90.00°
Last column: nearest neighbours and their distance in Å.
Space group P4/mmm (No. 123)
Asymmetric unit:
Ag1 0.0000 0.5000 0.0000 (multiplicity 2)  4 Ag 2.90, 4 Hg 2.95, 4 Pt 2.95
Hg1 0.0000 0.0000 0.5000 (multiplicity 1)  4 Pt 2.90, 8 Ag 2.95
Pt1 0.5000 0.5000 0.5000 (multiplicity 1)  4 Hg 2.90, 8 Ag 2.95

Values from the calculation:
* spin magnetization: 0.000 μB/cell
* formation enthalpy at 0 K: -0.003 eV/atom
* calculated volume: 71.6 Å³ per cell

---

[3]
Ce3HoC: relaxed, GGA-PBE.

a = 5.0225 Å, b = 5.0225 Å, c = 5.0225 Å
α = 90.00°, β = 90.00°, γ = 90.00°
Last column: nearest neighbours and their distance in Å.
Space group Pm-3m (No. 221)
Asymmetric unit:
Ce1 0.0000 0.0000 0.5000 (multiplicity 3)  2 C 2.51
Ho1 0.5000 0.5000 0.5000 (multiplicity 1)  12 Ce 3.55
C1 0.0000 0.0000 0.0000 (multiplicity 1)  6 Ce 2.51

Values from the calculation:
* spin magnetization: 0.210 μB/cell
* formation enthalpy at 0 K: 0.004 eV/atom
* calculated volume: 126.7 Å³ per cell